First-principles (PBE-GGA) data for an optimized crystal structure of TaF4, as listed in OQMD.

Lattice parameters (Å, degrees): 4.1106 4.1106 4.1106 109.47 109.47 109.47
Fractional positions:
Ta (0.0000, 0.0000, 0.0000)
F (0.0000, 0.0000, 0.5029)
F (0.0000, 0.5029, 0.0000)
F (0.4971, 0.4971, 0.4971)
F (0.5029, 0.0000, 0.0000)

Computed properties:
**Relative energy among the computed polymorphs**: 97 meV per atom
**Space-group type**: I-43m
**Raw total energy**: -6.629 eV/atom
**V**: 53 Å³/cell